1.
Here is a geometry-optimized SiPd2Au structure from the Alexandria database. Energies are from GGA-PBE.

Energy relative to the elements, uncorrected: -111 kJ/mol of formula units
D(E_F): 0.2693 states/eV/atom
Magnetization: 0.00 μB per formula unit
DFT total energy: -5.06 eV per atom
V: 65.8 Å³/f.u.
Crystal system: tetragonal

```
data_SiPd2Au
_symmetry_space_group_name_H-M 'I -4 2 d'
_symmetry_Int_Tables_number 122
_symmetry_space_group_name_Hall 'I -4 2bw'
_cell_length_a 7.0348
_cell_length_b 7.0348
_cell_length_c 5.3156
_cell_angle_alpha 90.00
_cell_angle_beta 90.00
_cell_angle_gamma 90.00
loop_
_atom_site_label
_atom_site_type_symbol
_atom_site_fract_x
_atom_site_fract_y
_atom_site_fract_z
Si1 Si 0.0000 0.0000 0.0000
Pd1 Pd 0.1971 0.2500 0.1250
Au1 Au 0.0000 0.0000 0.5000
```

=====

2.
Here is a geometry-optimized BeZn2Tc2 structure from the Alexandria database. Energies are from GGA-PBE.

Offset from the most stable computed form: 0 meV/atom
D(E_F): 0.5196 states/eV/atom
Magnetization: 0.00 μB per formula unit
DFT total energy: -5.17 eV per atom
V: 71.9 Å³/f.u.
Energy of formation from the pure elements: 0.227 eV per atom
Crystal system: tetragonal

```
data_BeZn2Tc2
_symmetry_space_group_name_H-M 'P 4/m b m'
_symmetry_Int_Tables_number 127
_symmetry_space_group_name_Hall '-P 4 2ab'
_cell_length_a 5.8714
_cell_length_b 5.8714
_cell_length_c 4.1739
_cell_angle_alpha 90.00
_cell_angle_beta 90.00
_cell_angle_gamma 90.00
loop_
_atom_site_label
_atom_site_type_symbol
_atom_site_fract_x
_atom_site_fract_y
_atom_site_fract_z
Be1 Be 0.0000 0.0000 0.0000
Zn1 Zn 0.1623 0.3377 0.5000
Tc1 Tc 0.1477 0.6477 0.0000
```

=====

3.
Here is a geometry-optimized Sm2TmScO6 structure from the Alexandria database. Energies are from GGA-PBE.

Energy relative to the elements, uncorrected: -3375 kJ/mol of formula units
D(E_F): 0.0000 states/eV/atom
Magnetization: 0.00 μB per formula unit
DFT total energy: -8.50 eV per atom
V: 136.6 Å³/f.u.
Crystal system: monoclinic

```
data_Sm2TmScO6
_symmetry_space_group_name_H-M 'P 1 21/c 1'
_symmetry_Int_Tables_number 14
_symmetry_space_group_name_Hall '-P 2ybc'
_cell_length_a 5.6352
_cell_length_b 5.8982
_cell_length_c 9.9369
_cell_angle_alpha 90.00
_cell_angle_beta 124.19
_cell_angle_gamma 90.00
loop_
_atom_site_label
_atom_site_type_symbol
_atom_site_fract_x
_atom_site_fract_y
_atom_site_fract_z
Sm1 Sm 0.2310 0.0573 0.2506
Tm1 Tm 0.5000 0.0000 0.0000
Sc1 Sc 0.0000 0.0000 0.5000
O1 O 0.1168 0.2008 0.9296
O2 O 0.2332 0.6905 0.9329
O3 O 0.3738 0.0577 0.7441
```